Compound: NaHoB
Source: OQMD
Functional: PBE-GGA
Structure: optimized geometry

Cell lengths 4.408, 4.408, 4.408 Å; angles 60.00, 60.00, 60.00 degrees
Element x y z (fractional)
B: 0.000 0.000 0.000
Ho: 0.250 0.250 0.250
Na: 0.750 0.750 0.750

Summary:
ΔE to the lowest computed polymorph (meV/atom): 0.0
Mass density (g cm⁻³): 5.45